# 1
A plane-wave DFT calculation with PBE was carried out for an optimized crystal structure of La2TbTlC.

Computed properties:
SG	P4/mmm
uncorrected energy	-27.669	eV/cell
E_form	-0.319	eV/atom
size of the total moment	0.000	μB/atom

Cell lengths 5.229, 5.229, 5.006 Å; angles 90.00, 90.00, 90.00 degrees
Sites, in units of the cell vectors:
La 0.000 0.500 0.000
La 0.500 0.000 0.000
Tb 0.000 0.000 0.500
Tl 0.500 0.500 0.500
C 0.000 0.000 0.000

=====

# 2
A plane-wave DFT calculation with PBE was carried out for an optimized crystal structure of LaTc2C.

Computed properties:
SG	I-42d
uncorrected energy	-66.009	eV/cell
E_form	0.470	eV/atom
size of the total moment	0.165	μB/atom
E above lowest polymorph	6.12	kcal/mol of atoms

Cell lengths 6.213, 6.213, 6.213 Å; angles 122.80, 122.80, 85.22 degrees
Sites, in units of the cell vectors:
La 0.000 0.000 0.000
La 0.750 0.250 0.500
Tc 0.314 0.625 0.189
Tc 0.375 0.564 0.689
Tc 0.436 0.125 0.811
Tc 0.875 0.686 0.311
C 0.250 0.750 0.500
C 0.500 0.500 0.000

=====

# 3
A plane-wave DFT calculation with PBE was carried out for an optimized crystal structure of La2Tc2C3.

Computed properties:
SG	C2/m
uncorrected energy	-59.700	eV/cell
E_form	-0.206	eV/atom
size of the total moment	0.000	μB/atom

Cell lengths 6.364, 6.364, 5.982 Å; angles 117.14, 117.14, 31.62 degrees
Sites, in units of the cell vectors:
La 0.104 0.104 0.306
La 0.896 0.896 0.694
Tc 0.337 0.337 0.182
Tc 0.663 0.663 0.818
C 0.248 0.248 0.779
C 0.500 0.500 0.500
C 0.752 0.752 0.221

=====

# 4
A plane-wave DFT calculation with PBE was carried out for an optimized crystal structure of LaTc2C2.

Computed properties:
SG	Fddd
uncorrected energy	-89.707	eV/cell
E_form	-0.149	eV/atom
size of the total moment	0.000	μB/atom
E above lowest polymorph	0.00	kcal/mol of atoms

Cell lengths 6.621, 5.897, 5.610 Å; angles 70.21, 56.92, 52.87 degrees
Sites, in units of the cell vectors:
La 0.125 0.125 0.125
La 0.875 0.875 0.875
Tc 0.236 0.236 0.514
Tc 0.486 0.486 0.764
Tc 0.514 0.514 0.236
Tc 0.764 0.764 0.486
C 0.190 0.560 0.190
C 0.440 0.810 0.440
C 0.560 0.190 0.560
C 0.810 0.440 0.810

=====

# 5
A plane-wave DFT calculation with PBE was carried out for an optimized crystal structure of LaTc3C.

Computed properties:
SG	Pm-3m
uncorrected energy	-44.036	eV/cell
E_form	0.243	eV/atom
size of the total moment	0.246	μB/atom
E above lowest polymorph	0.00	kcal/mol of atoms

Cell lengths 4.283, 4.283, 4.283 Å; angles 90.00, 90.00, 90.00 degrees
Sites, in units of the cell vectors:
La 0.000 0.000 0.000
Tc 0.000 0.500 0.500
Tc 0.500 0.000 0.500
Tc 0.500 0.500 0.000
C 0.500 0.500 0.500

=====

# 6
A plane-wave DFT calculation with PBE was carried out for an optimized crystal structure of LaTc3C.

Computed properties:
SG	Pm-3m
uncorrected energy	-27.916	eV/cell
E_form	3.467	eV/atom
size of the total moment	0.000	μB/atom
E above lowest polymorph	74.35	kcal/mol of atoms

Cell lengths 4.735, 4.735, 4.735 Å; angles 90.00, 90.00, 90.00 degrees
Sites, in units of the cell vectors:
La 0.000 0.000 0.000
Tc 0.000 0.000 0.500
Tc 0.000 0.500 0.000
Tc 0.500 0.000 0.000
C 0.500 0.500 0.500

=====

# 7
A plane-wave DFT calculation with PBE was carried out for an optimized crystal structure of LaTc2C2.

Computed properties:
SG	I4/mmm
uncorrected energy	-42.053	eV/cell
E_form	0.411	eV/atom
size of the total moment	0.000	μB/atom
E above lowest polymorph	12.92	kcal/mol of atoms

Cell lengths 5.084, 5.084, 5.084 Å; angles 132.59, 132.59, 69.30 degrees
Sites, in units of the cell vectors:
La 0.000 0.000 0.000
Tc 0.354 0.354 0.000
Tc 0.646 0.646 0.000
C 0.250 0.750 0.500
C 0.750 0.250 0.500

=====

# 8
A plane-wave DFT calculation with PBE was carried out for an optimized crystal structure of LaTc2C.

Computed properties:
SG	Cmcm
uncorrected energy	-68.132	eV/cell
E_form	0.204	eV/atom
size of the total moment	0.000	μB/atom
E above lowest polymorph	0.00	kcal/mol of atoms

Cell lengths 5.879, 5.879, 7.981 Å; angles 90.00, 90.00, 149.88 degrees
Sites, in units of the cell vectors:
La 0.063 0.937 0.750
La 0.937 0.063 0.250
Tc 0.327 0.673 0.580
Tc 0.327 0.673 0.920
Tc 0.673 0.327 0.080
Tc 0.673 0.327 0.420
C 0.188 0.812 0.250
C 0.812 0.188 0.750

=====

# 9
A plane-wave DFT calculation with PBE was carried out for an optimized crystal structure of LaTcC.

Computed properties:
SG	C2/c
uncorrected energy	-144.739	eV/cell
E_form	0.131	eV/atom
size of the total moment	0.000	μB/atom
E above lowest polymorph	3.96	kcal/mol of atoms

Cell lengths 6.690, 6.690, 9.043 Å; angles 92.93, 92.93, 126.09 degrees
Sites, in units of the cell vectors:
La 0.108 0.338 0.932
La 0.140 0.860 0.750
La 0.338 0.108 0.432
La 0.662 0.892 0.568
La 0.860 0.140 0.250
La 0.892 0.662 0.068
Tc 0.145 0.439 0.565
Tc 0.439 0.145 0.065
Tc 0.489 0.511 0.750
Tc 0.511 0.489 0.250
Tc 0.561 0.855 0.935
Tc 0.855 0.561 0.435
C 0.175 0.614 0.373
C 0.327 0.673 0.250
C 0.386 0.825 0.127
C 0.614 0.175 0.873
C 0.673 0.327 0.750
C 0.825 0.386 0.627

=====

# 10
A plane-wave DFT calculation with PBE was carried out for an optimized crystal structure of LaTc3C3.

Computed properties:
SG	R-3
uncorrected energy	-125.680	eV/cell
E_form	0.122	eV/atom
size of the total moment	0.000	μB/atom

Cell lengths 7.644, 7.644, 7.644 Å; angles 46.12, 46.12, 46.12 degrees
Sites, in units of the cell vectors:
La 0.171 0.171 0.171
La 0.829 0.829 0.829
Tc 0.083 0.352 0.699
Tc 0.301 0.917 0.648
Tc 0.352 0.699 0.083
Tc 0.648 0.301 0.917
Tc 0.699 0.083 0.352
Tc 0.917 0.648 0.301
C 0.026 0.736 0.425
C 0.264 0.575 0.974
C 0.425 0.026 0.736
C 0.575 0.974 0.264
C 0.736 0.425 0.026
C 0.974 0.264 0.575

=====

# 11
A plane-wave DFT calculation with PBE was carried out for an optimized crystal structure of La2TcC2.

Computed properties:
SG	C2/m
uncorrected energy	-79.080	eV/cell
E_form	-0.174	eV/atom
size of the total moment	0.000	μB/atom
E above lowest polymorph	1.07	kcal/mol of atoms

Cell lengths 6.464, 6.464, 6.939 Å; angles 117.40, 117.40, 50.44 degrees
Sites, in units of the cell vectors:
La 0.035 0.035 0.289
La 0.317 0.317 0.864
La 0.683 0.683 0.136
La 0.965 0.965 0.711
Tc 0.365 0.365 0.368
Tc 0.635 0.635 0.632
C 0.184 0.184 0.120
C 0.495 0.495 0.713
C 0.505 0.505 0.287
C 0.816 0.816 0.880

=====

# 12
A plane-wave DFT calculation with PBE was carried out for an optimized crystal structure of La2TcC4.

Computed properties:
SG	Ibam
uncorrected energy	-116.437	eV/cell
E_form	-0.157	eV/atom
size of the total moment	0.000	μB/atom

Cell lengths 7.049, 7.049, 7.049 Å; angles 110.95, 86.51, 134.70 degrees
Sites, in units of the cell vectors:
La 0.151 0.155 0.306
La 0.349 0.655 0.004
La 0.651 0.345 0.996
La 0.849 0.845 0.694
Tc 0.250 0.750 0.500
Tc 0.750 0.250 0.500
C 0.075 0.677 0.751
C 0.120 0.837 0.957
C 0.380 0.337 0.717
C 0.425 0.177 0.602
C 0.575 0.823 0.398
C 0.620 0.663 0.283
C 0.880 0.163 0.043
C 0.925 0.323 0.249

=====

# 13
A plane-wave DFT calculation with PBE was carried out for an optimized crystal structure of LaTcC.

Computed properties:
SG	P-6m2
uncorrected energy	-24.402	eV/cell
E_form	0.038	eV/atom
size of the total moment	0.000	μB/atom
E above lowest polymorph	1.81	kcal/mol of atoms

Cell lengths 3.552, 3.552, 4.772 Å; angles 90.00, 90.00, 120.00 degrees
Sites, in units of the cell vectors:
La 0.000 0.000 0.000
Tc 0.667 0.333 0.500
C 0.333 0.667 0.500

=====

# 14
A plane-wave DFT calculation with PBE was carried out for an optimized crystal structure of LaTcC.

Computed properties:
SG	C2/m
uncorrected energy	-48.945	eV/cell
E_form	0.015	eV/atom
size of the total moment	0.000	μB/atom
E above lowest polymorph	1.27	kcal/mol of atoms

Cell lengths 6.283, 6.283, 5.678 Å; angles 97.68, 97.68, 30.95 degrees
Sites, in units of the cell vectors:
La 0.155 0.155 0.211
La 0.845 0.845 0.789
Tc 0.437 0.437 0.296
Tc 0.563 0.563 0.704
C 0.000 0.000 0.500
C 0.500 0.500 0.000

=====

# 15
A plane-wave DFT calculation with PBE was carried out for an optimized crystal structure of La2TcC2.

Computed properties:
SG	Pnma
uncorrected energy	-159.088	eV/cell
E_form	-0.221	eV/atom
size of the total moment	0.000	μB/atom
E above lowest polymorph	0.00	kcal/mol of atoms

Cell lengths 6.734, 5.461, 10.494 Å; angles 90.00, 90.00, 90.00 degrees
Sites, in units of the cell vectors:
La 0.028 0.250 0.213
La 0.192 0.250 0.550
La 0.308 0.750 0.050
La 0.472 0.750 0.713
La 0.528 0.250 0.287
La 0.692 0.250 0.950
La 0.808 0.750 0.450
La 0.972 0.750 0.787
Tc 0.229 0.250 0.854
Tc 0.271 0.750 0.354
Tc 0.729 0.250 0.646
Tc 0.771 0.750 0.146
C 0.033 0.750 0.244
C 0.195 0.750 0.529
C 0.305 0.250 0.029
C 0.467 0.250 0.744
C 0.533 0.750 0.256
C 0.695 0.750 0.971
C 0.805 0.250 0.471
C 0.967 0.250 0.756

=====

# 16
A plane-wave DFT calculation with PBE was carried out for an optimized crystal structure of LaTc2C2.

Computed properties:
SG	P4/mbm
uncorrected energy	-77.015	eV/cell
E_form	1.120	eV/atom
size of the total moment	0.000	μB/atom
E above lowest polymorph	29.27	kcal/mol of atoms

Cell lengths 6.989, 6.989, 2.857 Å; angles 90.00, 90.00, 90.00 degrees
Sites, in units of the cell vectors:
La 0.000 0.000 0.000
La 0.500 0.500 0.000
Tc 0.126 0.374 0.000
Tc 0.374 0.874 0.000
Tc 0.626 0.126 0.000
Tc 0.874 0.626 0.000
C 0.123 0.623 0.500
C 0.377 0.123 0.500
C 0.623 0.877 0.500
C 0.877 0.377 0.500

=====

# 17
A plane-wave DFT calculation with PBE was carried out for an optimized crystal structure of LaTc3C2.

Computed properties:
SG	C2/m
uncorrected energy	-108.925	eV/cell
E_form	0.002	eV/atom
size of the total moment	0.000	μB/atom

Cell lengths 6.618, 6.618, 8.264 Å; angles 114.99, 114.99, 33.06 degrees
Sites, in units of the cell vectors:
La 0.130 0.130 0.015
La 0.870 0.870 0.985
Tc 0.058 0.058 0.393
Tc 0.286 0.286 0.620
Tc 0.386 0.386 0.334
Tc 0.614 0.614 0.666
Tc 0.714 0.714 0.380
Tc 0.942 0.942 0.607
C 0.204 0.204 0.773
C 0.472 0.472 0.726
C 0.528 0.528 0.274
C 0.796 0.796 0.227

=====

# 18
A plane-wave DFT calculation with PBE was carried out for an optimized crystal structure of LaTc2C.

Computed properties:
SG	Fm-3m
uncorrected energy	-29.249	eV/cell
E_form	1.408	eV/atom
size of the total moment	0.000	μB/atom
E above lowest polymorph	27.77	kcal/mol of atoms

Cell lengths 4.413, 4.413, 4.413 Å; angles 60.00, 60.00, 60.00 degrees
Sites, in units of the cell vectors:
La 0.000 0.000 0.000
Tc 0.250 0.250 0.250
Tc 0.750 0.750 0.750
C 0.500 0.500 0.500

=====

# 19
A plane-wave DFT calculation with PBE was carried out for an optimized crystal structure of La2Tc3C2.

Computed properties:
SG	C2/m
uncorrected energy	-58.307	eV/cell
E_form	0.156	eV/atom
size of the total moment	0.000	μB/atom

Cell lengths 5.548, 5.548, 7.928 Å; angles 120.65, 120.65, 32.34 degrees
Sites, in units of the cell vectors:
La 0.169 0.169 0.287
La 0.831 0.831 0.713
Tc 0.367 0.367 0.067
Tc 0.500 0.500 0.500
Tc 0.633 0.633 0.933
C 0.114 0.114 0.744
C 0.886 0.886 0.256

=====

# 20
A plane-wave DFT calculation with PBE was carried out for an optimized crystal structure of LaTcC.

Computed properties:
SG	C2/m
uncorrected energy	-98.552	eV/cell
E_form	-0.040	eV/atom
size of the total moment	0.000	μB/atom
E above lowest polymorph	0.00	kcal/mol of atoms

Cell lengths 9.368, 9.368, 7.110 Å; angles 91.03, 91.03, 24.13 degrees
Sites, in units of the cell vectors:
La 0.105 0.105 0.344
La 0.391 0.391 0.110
La 0.609 0.609 0.890
La 0.895 0.895 0.656
Tc 0.258 0.258 0.852
Tc 0.287 0.287 0.422
Tc 0.713 0.713 0.578
Tc 0.742 0.742 0.148
C 0.187 0.187 0.066
C 0.195 0.195 0.616
C 0.805 0.805 0.384
C 0.813 0.813 0.934

=====

# 21
A plane-wave DFT calculation with PBE was carried out for an optimized crystal structure of La2TlTcC.

Computed properties:
SG	P4/mmm
uncorrected energy	-32.778	eV/cell
E_form	-0.193	eV/atom
size of the total moment	0.000	μB/atom

Cell lengths 5.406, 5.406, 4.045 Å; angles 90.00, 90.00, 90.00 degrees
Sites, in units of the cell vectors:
La 0.000 0.500 0.000
La 0.500 0.000 0.000
Tl 0.000 0.000 0.500
Tc 0.500 0.500 0.500
C 0.500 0.500 0.000

=====

# 22
A plane-wave DFT calculation with PBE was carried out for an optimized crystal structure of LaUTcC3.

Computed properties:
SG	P2_1/m
uncorrected energy	-107.719	eV/cell
E_form	0.066	eV/atom
size of the total moment	0.000	μB/atom

Cell lengths 7.375, 3.660, 7.959 Å; angles 90.00, 97.92, 90.00 degrees
Sites, in units of the cell vectors:
La 0.163 0.250 0.179
La 0.837 0.750 0.821
U 0.359 0.750 0.839
U 0.641 0.250 0.161
Tc 0.099 0.250 0.597
Tc 0.901 0.750 0.403
C 0.143 0.250 0.852
C 0.165 0.750 0.531
C 0.434 0.750 0.120
C 0.566 0.250 0.880
C 0.835 0.250 0.469
C 0.857 0.750 0.148

=====

# 23
A plane-wave DFT calculation with PBE was carried out for an optimized crystal structure of LaU2TcC4.

Computed properties:
SG	Cmcm
uncorrected energy	-150.303	eV/cell
E_form	-0.048	eV/atom
size of the total moment	0.103	μB/atom

Cell lengths 6.131, 6.131, 11.873 Å; angles 90.00, 90.00, 145.61 degrees
Sites, in units of the cell vectors:
La 0.103 0.897 0.750
La 0.897 0.103 0.250
U 0.372 0.628 0.546
U 0.372 0.628 0.954
U 0.628 0.372 0.046
U 0.628 0.372 0.454
Tc 0.157 0.843 0.250
Tc 0.843 0.157 0.750
C 0.000 0.000 0.000
C 0.000 0.000 0.500
C 0.252 0.748 0.111
C 0.252 0.748 0.389
C 0.428 0.572 0.750
C 0.572 0.428 0.250
C 0.748 0.252 0.611
C 0.748 0.252 0.889